# GGA+U Tm2VAg2O6, optimized geometry
# * electronic total energy: -6.899 eV per atom
# * DOS at the Fermi energy: 0.000 states/eV per atom
# * size of the total moment: 1.0 μB/f.u.
# * volume: 16.195 Å³/atom
data_Tm2VAg2O6
_chemical_formula_sum 'Tm4 V2 Ag4 O12'
_cell_length_a 5.6419
_cell_length_b 10.0102
_cell_length_c 6.4834
_cell_angle_alpha 90.00
_cell_angle_beta 103.34
_cell_angle_gamma 90.00
_symmetry_space_group_name_H-M 'C 1 2/m 1'
_symmetry_Int_Tables_number 12
_symmetry_space_group_name_Hall '-C 2y'
loop_
_atom_site_label
_atom_site_type_symbol
_atom_site_fract_x
_atom_site_fract_y
_atom_site_fract_z
_atom_site_occupancy
Tm1 Tm 0.0000 0.1642 0.0000 1
V1 V 0.0000 0.5000 0.0000 1
Ag1 Ag 0.0000 0.3454 0.5000 1
O1 O 0.1044 0.3428 0.8320 1
O2 O 0.1707 0.0000 0.8542 1